a:
A plane-wave DFT calculation with PBE was carried out for a relaxed structure of CaBe3Ir.

Calculated values
Crystal system: cubic
Symmetry: Pm-3m (221)
Total moment (μB/cell): 0.0

The structure in CIF format:
```
data_CaBe3Ir
_chemical_formula_sum 'Ca1 Be3 Ir1'
_cell_length_a 4.323
_cell_length_b 4.323
_cell_length_c 4.323
_cell_angle_alpha 90.00
_cell_angle_beta 90.00
_cell_angle_gamma 90.00
_symmetry_space_group_name_H-M 'P 1'
_symmetry_Int_Tables_number 1
loop_
_symmetry_equiv_pos_as_xyz
'x,y,z'
loop_
_atom_site_label
_atom_site_type_symbol
_atom_site_fract_x
_atom_site_fract_y
_atom_site_fract_z
_atom_site_occupancy
Ca1 Ca 0.000 0.000 0.000 1
Be1 Be 0.000 0.500 0.500 1
Be2 Be 0.500 0.000 0.500 1
Be3 Be 0.500 0.500 0.000 1
Ir1 Ir 0.500 0.500 0.500 1
```



b:
A plane-wave DFT calculation with PBE was carried out for a relaxed structure of CaBe3Ir.

Calculated values
Crystal system: cubic
Symmetry: Pm-3m (221)
Total moment (μB/cell): 0.0

The structure in CIF format:
```
data_CaBe3Ir
_chemical_formula_sum 'Ca1 Be3 Ir1'
_cell_length_a 4.258
_cell_length_b 4.258
_cell_length_c 4.258
_cell_angle_alpha 90.00
_cell_angle_beta 90.00
_cell_angle_gamma 90.00
_symmetry_space_group_name_H-M 'P 1'
_symmetry_Int_Tables_number 1
loop_
_symmetry_equiv_pos_as_xyz
'x,y,z'
loop_
_atom_site_label
_atom_site_type_symbol
_atom_site_fract_x
_atom_site_fract_y
_atom_site_fract_z
_atom_site_occupancy
Ca1 Ca 0.000 0.000 0.000 1
Be1 Be 0.000 0.000 0.500 1
Be2 Be 0.000 0.500 0.000 1
Be3 Be 0.500 0.000 0.000 1
Ir1 Ir 0.500 0.500 0.500 1
```



The structure with the most favorable energy is a; the runner-up is 256.8 kJ/mol of atoms above it.



a:
A plane-wave DFT calculation with PBE was carried out for a relaxed structure of KCaBe2.

Calculated values
Crystal system: trigonal
Symmetry: R3m (160)
Total moment (μB/cell): 0.0

The structure in CIF format:
```
data_KCaBe2
_chemical_formula_sum 'K3 Ca3 Be6'
_cell_length_a 3.966
_cell_length_b 3.966
_cell_length_c 25.269
_cell_angle_alpha 90.00
_cell_angle_beta 90.00
_cell_angle_gamma 120.00
_symmetry_space_group_name_H-M 'P 1'
_symmetry_Int_Tables_number 1
loop_
_symmetry_equiv_pos_as_xyz
'x,y,z'
loop_
_atom_site_label
_atom_site_type_symbol
_atom_site_fract_x
_atom_site_fract_y
_atom_site_fract_z
_atom_site_occupancy
K1 K 0.000 0.000 0.000 1
K2 K 0.333 0.667 0.667 1
K3 K 0.667 0.333 0.333 1
Ca1 Ca 0.000 0.000 0.175 1
Ca2 Ca 0.333 0.667 0.842 1
Ca3 Ca 0.667 0.333 0.509 1
Be1 Be 0.000 0.000 0.435 1
Be2 Be 0.000 0.000 0.769 1
Be3 Be 0.333 0.667 0.102 1
Be4 Be 0.333 0.667 0.435 1
Be5 Be 0.667 0.333 0.102 1
Be6 Be 0.667 0.333 0.769 1
```



b:
A plane-wave DFT calculation with PBE was carried out for a relaxed structure of KCaBe2.

Calculated values
Crystal system: tetragonal
Symmetry: I-42d (122)
Total moment (μB/cell): 0.0

The structure in CIF format:
```
data_KCaBe2
_chemical_formula_sum 'K4 Ca4 Be8'
_cell_length_a 8.346
_cell_length_b 8.346
_cell_length_c 6.282
_cell_angle_alpha 90.00
_cell_angle_beta 90.00
_cell_angle_gamma 90.00
_symmetry_space_group_name_H-M 'P 1'
_symmetry_Int_Tables_number 1
loop_
_symmetry_equiv_pos_as_xyz
'x,y,z'
loop_
_atom_site_label
_atom_site_type_symbol
_atom_site_fract_x
_atom_site_fract_y
_atom_site_fract_z
_atom_site_occupancy
K1 K 0.000 0.000 0.000 1
K2 K 0.000 0.500 0.250 1
K3 K 0.500 0.000 0.750 1
K4 K 0.500 0.500 0.500 1
Ca1 Ca 0.000 0.000 0.500 1
Ca2 Ca 0.000 0.500 0.750 1
Ca3 Ca 0.500 0.000 0.250 1
Ca4 Ca 0.500 0.500 0.000 1
Be1 Be 0.231 0.250 0.625 1
Be2 Be 0.250 0.731 0.875 1
Be3 Be 0.250 0.769 0.375 1
Be4 Be 0.269 0.250 0.125 1
Be5 Be 0.731 0.750 0.125 1
Be6 Be 0.750 0.231 0.375 1
Be7 Be 0.750 0.269 0.875 1
Be8 Be 0.769 0.750 0.625 1
```



The structure with the most favorable energy is a; the runner-up is 63.7 kJ/mol of atoms above it.



a:
A plane-wave DFT calculation with PBE was carried out for a relaxed structure of KCaBe2.

Calculated values
Crystal system: monoclinic
Symmetry: C2/m (12)
Total moment (μB/cell): 0.0

The structure in CIF format:
```
data_KCaBe2
_chemical_formula_sum 'K2 Ca2 Be4'
_cell_length_a 10.299
_cell_length_b 4.073
_cell_length_c 7.900
_cell_angle_alpha 90.00
_cell_angle_beta 126.86
_cell_angle_gamma 90.00
_symmetry_space_group_name_H-M 'P 1'
_symmetry_Int_Tables_number 1
loop_
_symmetry_equiv_pos_as_xyz
'x,y,z'
loop_
_atom_site_label
_atom_site_type_symbol
_atom_site_fract_x
_atom_site_fract_y
_atom_site_fract_z
_atom_site_occupancy
K1 K 0.000 0.000 0.000 1
K2 K 0.500 0.500 0.000 1
Ca1 Ca 0.000 0.500 0.500 1
Ca2 Ca 0.500 0.000 0.500 1
Be1 Be 0.233 0.000 0.516 1
Be2 Be 0.267 0.500 0.484 1
Be3 Be 0.733 0.500 0.516 1
Be4 Be 0.767 0.000 0.484 1
```



b:
A plane-wave DFT calculation with PBE was carried out for a relaxed structure of KCaBe2.

Calculated values
Crystal system: orthorhombic
Symmetry: Imm2 (44)
Total moment (μB/cell): 0.0

The structure in CIF format:
```
data_KCaBe2
_chemical_formula_sum 'K2 Ca2 Be4'
_cell_length_a 4.040
_cell_length_b 5.542
_cell_length_c 9.079
_cell_angle_alpha 90.00
_cell_angle_beta 90.00
_cell_angle_gamma 90.00
_symmetry_space_group_name_H-M 'P 1'
_symmetry_Int_Tables_number 1
loop_
_symmetry_equiv_pos_as_xyz
'x,y,z'
loop_
_atom_site_label
_atom_site_type_symbol
_atom_site_fract_x
_atom_site_fract_y
_atom_site_fract_z
_atom_site_occupancy
K1 K 0.000 0.000 0.000 1
K2 K 0.500 0.500 0.500 1
Ca1 Ca 0.000 0.500 0.176 1
Ca2 Ca 0.500 0.000 0.676 1
Be1 Be 0.000 0.000 0.371 1
Be2 Be 0.000 0.500 0.821 1
Be3 Be 0.500 0.000 0.321 1
Be4 Be 0.500 0.500 0.871 1
```



The structure with the most favorable energy is a; the runner-up is 8.6 kJ/mol of atoms above it.



a:
A plane-wave DFT calculation with PBE was carried out for a relaxed structure of KCa3Be.

Calculated values
Crystal system: cubic
Symmetry: Pm-3m (221)
Total moment (μB/cell): 0.0

The structure in CIF format:
```
data_KCa3Be
_chemical_formula_sum 'K1 Ca3 Be1'
_cell_length_a 6.434
_cell_length_b 6.434
_cell_length_c 6.434
_cell_angle_alpha 90.00
_cell_angle_beta 90.00
_cell_angle_gamma 90.00
_symmetry_space_group_name_H-M 'P 1'
_symmetry_Int_Tables_number 1
loop_
_symmetry_equiv_pos_as_xyz
'x,y,z'
loop_
_atom_site_label
_atom_site_type_symbol
_atom_site_fract_x
_atom_site_fract_y
_atom_site_fract_z
_atom_site_occupancy
K1 K 0.000 0.000 0.000 1
Ca1 Ca 0.000 0.000 0.500 1
Ca2 Ca 0.000 0.500 0.000 1
Ca3 Ca 0.500 0.000 0.000 1
Be1 Be 0.500 0.500 0.500 1
```



b:
A plane-wave DFT calculation with PBE was carried out for a relaxed structure of KCa3Be.

Calculated values
Crystal system: cubic
Symmetry: Pm-3m (221)
Total moment (μB/cell): 0.0

The structure in CIF format:
```
data_KCa3Be
_chemical_formula_sum 'K1 Ca3 Be1'
_cell_length_a 5.850
_cell_length_b 5.850
_cell_length_c 5.850
_cell_angle_alpha 90.00
_cell_angle_beta 90.00
_cell_angle_gamma 90.00
_symmetry_space_group_name_H-M 'P 1'
_symmetry_Int_Tables_number 1
loop_
_symmetry_equiv_pos_as_xyz
'x,y,z'
loop_
_atom_site_label
_atom_site_type_symbol
_atom_site_fract_x
_atom_site_fract_y
_atom_site_fract_z
_atom_site_occupancy
K1 K 0.000 0.000 0.000 1
Ca1 Ca 0.000 0.500 0.500 1
Ca2 Ca 0.500 0.000 0.500 1
Ca3 Ca 0.500 0.500 0.000 1
Be1 Be 0.500 0.500 0.500 1
```



The structure with the most favorable energy is b; the runner-up is 111.5 kJ/mol of atoms above it.



a:
A plane-wave DFT calculation with PBE was carried out for a relaxed structure of KCaBe3.

Calculated values
Crystal system: cubic
Symmetry: Pm-3m (221)
Total moment (μB/cell): 0.0

The structure in CIF format:
```
data_KCaBe3
_chemical_formula_sum 'K1 Ca1 Be3'
_cell_length_a 5.547
_cell_length_b 5.547
_cell_length_c 5.547
_cell_angle_alpha 90.00
_cell_angle_beta 90.00
_cell_angle_gamma 90.00
_symmetry_space_group_name_H-M 'P 1'
_symmetry_Int_Tables_number 1
loop_
_symmetry_equiv_pos_as_xyz
'x,y,z'
loop_
_atom_site_label
_atom_site_type_symbol
_atom_site_fract_x
_atom_site_fract_y
_atom_site_fract_z
_atom_site_occupancy
K1 K 0.000 0.000 0.000 1
Ca1 Ca 0.500 0.500 0.500 1
Be1 Be 0.000 0.500 0.500 1
Be2 Be 0.500 0.000 0.500 1
Be3 Be 0.500 0.500 0.000 1
```



b:
A plane-wave DFT calculation with PBE was carried out for a relaxed structure of KCaBe3.

Calculated values
Crystal system: cubic
Symmetry: Pm-3m (221)
Total moment (μB/cell): 0.0

The structure in CIF format:
```
data_KCaBe3
_chemical_formula_sum 'K1 Ca1 Be3'
_cell_length_a 5.179
_cell_length_b 5.179
_cell_length_c 5.179
_cell_angle_alpha 90.00
_cell_angle_beta 90.00
_cell_angle_gamma 90.00
_symmetry_space_group_name_H-M 'P 1'
_symmetry_Int_Tables_number 1
loop_
_symmetry_equiv_pos_as_xyz
'x,y,z'
loop_
_atom_site_label
_atom_site_type_symbol
_atom_site_fract_x
_atom_site_fract_y
_atom_site_fract_z
_atom_site_occupancy
K1 K 0.000 0.000 0.000 1
Ca1 Ca 0.500 0.500 0.500 1
Be1 Be 0.000 0.000 0.500 1
Be2 Be 0.000 0.500 0.000 1
Be3 Be 0.500 0.000 0.000 1
```



The structure with the most favorable energy is a; the runner-up is 22.3 kJ/mol of atoms above it.



a:
A plane-wave DFT calculation with PBE was carried out for a relaxed structure of CaLaBe.

Calculated values
Crystal system: trigonal
Symmetry: P3m1 (156)
Total moment (μB/cell): 0.0

The structure in CIF format:
```
data_CaLaBe
_chemical_formula_sum 'Ca1 La1 Be1'
_cell_length_a 3.806
_cell_length_b 3.806
_cell_length_c 7.409
_cell_angle_alpha 90.00
_cell_angle_beta 90.00
_cell_angle_gamma 120.00
_symmetry_space_group_name_H-M 'P 1'
_symmetry_Int_Tables_number 1
loop_
_symmetry_equiv_pos_as_xyz
'x,y,z'
loop_
_atom_site_label
_atom_site_type_symbol
_atom_site_fract_x
_atom_site_fract_y
_atom_site_fract_z
_atom_site_occupancy
Ca1 Ca 0.000 0.000 0.000 1
La1 La 0.667 0.333 0.476 1
Be1 Be 0.333 0.667 0.735 1
```



b:
A plane-wave DFT calculation with PBE was carried out for a relaxed structure of CaLaBe.

Calculated values
Crystal system: tetragonal
Symmetry: I4mm (107)
Total moment (μB/cell): 0.0

The structure in CIF format:
```
data_CaLaBe
_chemical_formula_sum 'Ca2 La2 Be2'
_cell_length_a 3.563
_cell_length_b 3.563
_cell_length_c 13.430
_cell_angle_alpha 90.00
_cell_angle_beta 90.00
_cell_angle_gamma 90.00
_symmetry_space_group_name_H-M 'P 1'
_symmetry_Int_Tables_number 1
loop_
_symmetry_equiv_pos_as_xyz
'x,y,z'
loop_
_atom_site_label
_atom_site_type_symbol
_atom_site_fract_x
_atom_site_fract_y
_atom_site_fract_z
_atom_site_occupancy
Ca1 Ca 0.000 0.000 0.000 1
Ca2 Ca 0.500 0.500 0.500 1
La1 La 0.000 0.000 0.741 1
La2 La 0.500 0.500 0.241 1
Be1 Be 0.000 0.000 0.368 1
Be2 Be 0.500 0.500 0.868 1
```



c:
A plane-wave DFT calculation with PBE was carried out for a relaxed structure of CaLaBe.

Calculated values
Crystal system: trigonal
Symmetry: P3m1 (156)
Total moment (μB/cell): 0.0

The structure in CIF format:
```
data_CaLaBe
_chemical_formula_sum 'Ca1 La1 Be1'
_cell_length_a 4.981
_cell_length_b 4.981
_cell_length_c 3.884
_cell_angle_alpha 90.00
_cell_angle_beta 90.00
_cell_angle_gamma 120.00
_symmetry_space_group_name_H-M 'P 1'
_symmetry_Int_Tables_number 1
loop_
_symmetry_equiv_pos_as_xyz
'x,y,z'
loop_
_atom_site_label
_atom_site_type_symbol
_atom_site_fract_x
_atom_site_fract_y
_atom_site_fract_z
_atom_site_occupancy
Ca1 Ca 0.000 0.000 0.000 1
La1 La 0.667 0.333 0.473 1
Be1 Be 0.333 0.667 0.810 1
```



The structure with the most favorable energy is b; the runner-up is 17.6 kJ/mol of atoms above it.



a:
A plane-wave DFT calculation with PBE was carried out for a relaxed structure of CaLaBe3.

Calculated values
Crystal system: cubic
Symmetry: Pm-3m (221)
Total moment (μB/cell): 0.0

The structure in CIF format:
```
data_CaLaBe3
_chemical_formula_sum 'Ca1 La1 Be3'
_cell_length_a 4.914
_cell_length_b 4.914
_cell_length_c 4.914
_cell_angle_alpha 90.00
_cell_angle_beta 90.00
_cell_angle_gamma 90.00
_symmetry_space_group_name_H-M 'P 1'
_symmetry_Int_Tables_number 1
loop_
_symmetry_equiv_pos_as_xyz
'x,y,z'
loop_
_atom_site_label
_atom_site_type_symbol
_atom_site_fract_x
_atom_site_fract_y
_atom_site_fract_z
_atom_site_occupancy
Ca1 Ca 0.000 0.000 0.000 1
La1 La 0.500 0.500 0.500 1
Be1 Be 0.000 0.000 0.500 1
Be2 Be 0.000 0.500 0.000 1
Be3 Be 0.500 0.000 0.000 1
```



b:
A plane-wave DFT calculation with PBE was carried out for a relaxed structure of CaLaBe3.

Calculated values
Crystal system: cubic
Symmetry: Pm-3m (221)
Total moment (μB/cell): 0.6

The structure in CIF format:
```
data_CaLaBe3
_chemical_formula_sum 'Ca1 La1 Be3'
_cell_length_a 5.119
_cell_length_b 5.119
_cell_length_c 5.119
_cell_angle_alpha 90.00
_cell_angle_beta 90.00
_cell_angle_gamma 90.00
_symmetry_space_group_name_H-M 'P 1'
_symmetry_Int_Tables_number 1
loop_
_symmetry_equiv_pos_as_xyz
'x,y,z'
loop_
_atom_site_label
_atom_site_type_symbol
_atom_site_fract_x
_atom_site_fract_y
_atom_site_fract_z
_atom_site_occupancy
Ca1 Ca 0.000 0.000 0.000 1
La1 La 0.500 0.500 0.500 1
Be1 Be 0.000 0.500 0.500 1
Be2 Be 0.500 0.000 0.500 1
Be3 Be 0.500 0.500 0.000 1
```



The structure with the most favorable energy is a; the runner-up is 14.2 kJ/mol of atoms above it.



a:
A plane-wave DFT calculation with PBE was carried out for a relaxed structure of Ca3LaBe.

Calculated values
Crystal system: cubic
Symmetry: Pm-3m (221)
Total moment (μB/cell): 0.0

The structure in CIF format:
```
data_Ca3LaBe
_chemical_formula_sum 'Ca3 La1 Be1'
_cell_length_a 5.639
_cell_length_b 5.639
_cell_length_c 5.639
_cell_angle_alpha 90.00
_cell_angle_beta 90.00
_cell_angle_gamma 90.00
_symmetry_space_group_name_H-M 'P 1'
_symmetry_Int_Tables_number 1
loop_
_symmetry_equiv_pos_as_xyz
'x,y,z'
loop_
_atom_site_label
_atom_site_type_symbol
_atom_site_fract_x
_atom_site_fract_y
_atom_site_fract_z
_atom_site_occupancy
Ca1 Ca 0.000 0.000 0.500 1
Ca2 Ca 0.000 0.500 0.000 1
Ca3 Ca 0.500 0.000 0.000 1
La1 La 0.500 0.500 0.500 1
Be1 Be 0.000 0.000 0.000 1
```



b:
A plane-wave DFT calculation with PBE was carried out for a relaxed structure of Ca3LaBe.

Calculated values
Crystal system: cubic
Symmetry: Pm-3m (221)
Total moment (μB/cell): 0.8

The structure in CIF format:
```
data_Ca3LaBe
_chemical_formula_sum 'Ca3 La1 Be1'
_cell_length_a 5.782
_cell_length_b 5.782
_cell_length_c 5.782
_cell_angle_alpha 90.00
_cell_angle_beta 90.00
_cell_angle_gamma 90.00
_symmetry_space_group_name_H-M 'P 1'
_symmetry_Int_Tables_number 1
loop_
_symmetry_equiv_pos_as_xyz
'x,y,z'
loop_
_atom_site_label
_atom_site_type_symbol
_atom_site_fract_x
_atom_site_fract_y
_atom_site_fract_z
_atom_site_occupancy
Ca1 Ca 0.000 0.000 0.500 1
Ca2 Ca 0.000 0.500 0.000 1
Ca3 Ca 0.500 0.000 0.000 1
La1 La 0.000 0.000 0.000 1
Be1 Be 0.500 0.500 0.500 1
```



The structure with the most favorable energy is a; the runner-up is 101.8 kJ/mol of atoms above it.